(1)
TlCdOs, relaxed, DFT GGA-PBE; energy relative to the elements = 813.1 meV per atom; energy above the lowest structure with this stoichiometry = 0 meV/atom; total moment = 0.4 μB/cell
1.0
3.060 0.000 0.000
-1.530 2.650 0.000
0.000 0.000 7.396
Tl Cd Os
1 1 1
Cartesian
0.000 1.767 4.758
0.000 0.000 0.204
1.530 0.883 2.434

(2)
TlCd4Os, relaxed, DFT GGA-PBE; energy relative to the elements = 684.8 meV per atom; total moment = 0.0 μB/cell
1.0
0.000 3.984 3.984
3.984 0.000 3.984
3.984 3.984 0.000
Os Cd Tl
1 4 1
Cartesian
5.976 5.976 5.976
2.994 4.974 4.974
4.974 2.994 4.974
2.994 2.994 2.994
4.974 4.974 2.994
0.000 0.000 0.000

(3)
TlCd2Os2, relaxed, DFT GGA-PBE; energy relative to the elements = 697.5 meV per atom; total moment = 0.0 μB/cell
1.0
-1.774 1.774 9.029
1.774 -1.774 9.029
1.774 1.774 -9.029
Os Cd Tl
2 2 1
Cartesian
0.000 1.774 4.514
1.774 0.000 4.514
0.000 0.000 6.865
0.000 0.000 11.192
0.000 0.000 0.000